A plane-wave DFT calculation with PBE+U was carried out for a relaxed Na4In3CoO8 crystal.

CIF file:
```
data_Na4In3CoO8
_cell_length_a 11.207
_cell_length_b 6.450
_cell_length_c 6.634
_cell_angle_alpha 90.00
_cell_angle_beta 124.09
_cell_angle_gamma 90.00
_space_group_name_H-M_alt 'C 1 2/m 1'
_space_group_IT_number 12
_space_group_name_Hall '-C 2y'
loop_
_atom_site_label
_atom_site_type_symbol
_atom_site_fract_x
_atom_site_fract_y
_atom_site_fract_z
Na1 Na 0.000 0.000 0.000
Na2 Na 0.000 0.500 0.000
Na3 Na 0.250 0.250 0.000
In1 In 0.000 0.000 0.500
In2 In 0.250 0.250 0.500
Co1 Co 0.000 0.500 0.500
O1 O 0.010 0.264 0.295
O2 O 0.234 0.500 0.713
O3 O 0.238 0.000 0.716
```

Output
V ... 397.2 Å³ per cell
E_tot ... -164.6 eV per cell